VASP calculation (PBE-GGA) on Tb2BeGePd6 after structural relaxation.

Crystal system: monoclinic
ΔH_f (0 K): -0.67 eV/atom
Size of the total moment: 0.00 μB/f.u.

Cell and atoms, written as CIF:
```
data_Tb2BeGePd6
_chemical_formula_sum 'Tb4 Be2 Ge2 Pd12'
_space_group_name_H-M_alt 'C 1 2/m 1'
_space_group_IT_number 12
_cell_length_a 9.9348
_cell_length_b 5.8217
_cell_length_c 7.0576
_cell_angle_alpha 90.00
_cell_angle_beta 117.40
_cell_angle_gamma 90.00
loop_
_space_group_symop_operation_xyz
'x,y,z'
'-x,-y,-z'
'-x,y,-z'
'x,-y,z'
'x+1/2,y+1/2,z'
'-x+1/2,-y+1/2,-z'
'-x+1/2,y+1/2,-z'
'x+1/2,-y+1/2,z'
loop_
_atom_site_label
_atom_site_fract_x
_atom_site_fract_y
_atom_site_fract_z
Tb1 0.2405 0.0000 0.3014
Be1 0.0000 0.5000 0.0000
Ge1 0.0000 0.0000 0.5000
Pd1 0.0624 0.2413 0.8328
Pd2 0.2239 0.5000 0.2590
```